This record from the Alexandria database describes a relaxed structure of Mg3AlPt. The functional is PBE.

a = 4.9732 Å, b = 4.9732 Å, c = 4.9732 Å
α = 90.00°, β = 90.00°, γ = 90.00°
Space group Pm-3m (No. 221)
Inequivalent atoms, fractional coordinates:
Mg 0.0000 0.0000 0.5000 x3
Al 0.0000 0.0000 0.0000 x1
Pt 0.5000 0.5000 0.5000 x1

The value obtained for the calculated volume is 123 Å³/cell. As for the energy relative to the elements: 0.58 eV/atom. For the total energy, the calculation gives -11.67 eV per cell. As for the theoretical density: 3.98 g/cm3.



This record from the Alexandria database describes a relaxed structure of MgAl2Pt. The functional is PBE.

a = 6.3533 Å, b = 6.3533 Å, c = 6.3533 Å
α = 90.00°, β = 90.00°, γ = 90.00°
Space group F-43m (No. 216)
Inequivalent atoms, fractional coordinates:
Mg 0.0000 0.0000 0.0000 x4
Al 0.0000 0.0000 0.5000 x4
Al 0.2500 0.2500 0.7500 x4
Pt 0.2500 0.2500 0.2500 x4

The value obtained for the calculated volume is 256 Å³/cell. As for the energy relative to the elements: -0.40 eV/atom. For the total energy, the calculation gives -66.95 eV per cell. As for the theoretical density: 7.08 g/cm3.



This record from the Alexandria database describes a relaxed structure of MgAlPt5. The functional is PBE.

a = 3.9659 Å, b = 3.9659 Å, c = 7.1922 Å
α = 90.00°, β = 90.00°, γ = 90.00°
Space group P4/mmm (No. 123)
Inequivalent atoms, fractional coordinates:
Mg 0.0000 0.0000 0.0000 x1
Al 0.5000 0.5000 0.5000 x1
Pt 0.0000 0.5000 0.2810 x4
Pt 0.5000 0.5000 0.0000 x1

The value obtained for the calculated volume is 113 Å³/cell. As for the energy relative to the elements: -0.60 eV/atom. For the total energy, the calculation gives -39.76 eV per cell. As for the theoretical density: 15.07 g/cm3.



This record from the Alexandria database describes a relaxed structure of MgAl2Pt. The functional is PBE.

a = 4.1481 Å, b = 4.1481 Å, c = 7.3671 Å
α = 90.00°, β = 90.00°, γ = 90.00°
Space group I4/mmm (No. 139)
Inequivalent atoms, fractional coordinates:
Mg 0.0000 0.0000 0.0000 x2
Al 0.0000 0.5000 0.2500 x4
Pt 0.0000 0.0000 0.5000 x2

The value obtained for the calculated volume is 127 Å³/cell. As for the energy relative to the elements: -0.49 eV/atom. For the total energy, the calculation gives -34.12 eV per cell. As for the theoretical density: 7.16 g/cm3.